[1]
First-principles (GGA-PBE) data for a relaxed Er2TlSb crystal, as listed in the Alexandria database.

Calculated values
**E_form (uncorrected)**: -2.32 eV/f.u.
**Uncorrected energy**: -4.48 eV/atom
**Symmetry**: Pnma (62)
**Offset from the most stable computed form**: 29 meV/atom

Cell: 8.203 4.048 14.113 Å, 90.00 90.00 90.00°
Atoms (fractional coordinates):
Er1 0.189 0.250 0.007
Er2 0.190 0.750 0.763
Er3 0.310 0.250 0.263
Er4 0.311 0.750 0.507
Er5 0.689 0.250 0.493
Er6 0.690 0.750 0.737
Er7 0.810 0.250 0.237
Er8 0.811 0.750 0.993
Tl1 0.044 0.250 0.415
Tl2 0.456 0.750 0.915
Tl3 0.544 0.250 0.085
Tl4 0.956 0.750 0.585
Sb1 0.067 0.750 0.159
Sb2 0.433 0.250 0.659
Sb3 0.567 0.750 0.341
Sb4 0.933 0.250 0.841

[2]
First-principles (GGA-PBE) data for a relaxed Er2TlSb crystal, as listed in the Alexandria database.

Calculated values
**E_form (uncorrected)**: -2.44 eV/f.u.
**Uncorrected energy**: -4.51 eV/atom
**Symmetry**: R-3m (166)
**Offset from the most stable computed form**: 0 meV/atom

Cell: 8.353 8.353 8.353 Å, 28.62 28.62 28.62°
Atoms (fractional coordinates):
Er1 0.243 0.243 0.243
Er2 0.757 0.757 0.757
Tl1 0.000 0.000 0.000
Sb1 0.500 0.500 0.500

[3]
First-principles (GGA-PBE) data for a relaxed Er2TlSb crystal, as listed in the Alexandria database.

Calculated values
**E_form (uncorrected)**: -2.17 eV/f.u.
**Uncorrected energy**: -4.45 eV/atom
**Symmetry**: R3m (160)
**Offset from the most stable computed form**: 68 meV/atom

Cell: 8.579 8.579 8.579 Å, 27.61 27.61 27.61°
Atoms (fractional coordinates):
Er1 0.000 0.000 0.000
Er2 0.182 0.182 0.182
Tl1 0.424 0.424 0.424
Sb1 0.592 0.592 0.592

[4]
First-principles (GGA-PBE) data for a relaxed Er5Tl2Sb crystal, as listed in the Alexandria database.

Calculated values
**E_form (uncorrected)**: -3.59 eV/f.u.
**Uncorrected energy**: -4.41 eV/atom
**Symmetry**: I4/mcm (140)
**Offset from the most stable computed form**: 0 meV/atom

Cell: 8.748 8.748 8.748 Å, 123.46 123.46 84.10°
Atoms (fractional coordinates):
Er1 0.000 0.000 0.000
Er2 0.000 0.500 0.195
Er3 0.000 0.500 0.805
Er4 0.195 0.000 0.500
Er5 0.305 0.805 0.805
Er6 0.500 0.305 0.500
Er7 0.500 0.500 0.000
Er8 0.500 0.695 0.500
Er9 0.695 0.195 0.195
Er10 0.805 0.000 0.500
Tl1 0.148 0.352 0.500
Tl2 0.352 0.852 0.205
Tl3 0.648 0.148 0.795
Tl4 0.852 0.648 0.500
Sb1 0.250 0.250 0.000
Sb2 0.750 0.750 0.000

[5]
First-principles (GGA-PBE) data for a relaxed Er8TmSb2 crystal, as listed in the Alexandria database.

Calculated values
**E_form (uncorrected)**: -0.75 eV/f.u.
**Uncorrected energy**: -4.54 eV/atom
**Symmetry**: C2/m (12)

Cell: 8.565 8.565 6.068 Å, 108.33 108.33 60.97°
Atoms (fractional coordinates):
Er1 0.071 0.692 0.223
Er2 0.091 0.091 0.267
Er3 0.308 0.929 0.777
Er4 0.326 0.326 0.703
Er5 0.674 0.674 0.297
Er6 0.692 0.071 0.223
Er7 0.909 0.909 0.733
Er8 0.929 0.308 0.777
Tm1 0.500 0.500 0.500
Sb1 0.281 0.281 0.157
Sb2 0.719 0.719 0.843

[6]
First-principles (GGA-PBE) data for a relaxed ErTm5Sb4 crystal, as listed in the Alexandria database.

Calculated values
**E_form (uncorrected)**: -6.62 eV/f.u.
**Uncorrected energy**: -5.00 eV/atom
**Symmetry**: C2/m (12)

Cell: 9.442 9.442 8.294 Å, 105.62 105.62 26.06°
Atoms (fractional coordinates):
Er1 0.000 0.000 0.000
Tm1 0.000 0.000 0.500
Tm2 0.319 0.319 0.650
Tm3 0.338 0.338 0.185
Tm4 0.662 0.662 0.815
Tm5 0.681 0.681 0.350
Sb1 0.170 0.170 0.083
Sb2 0.490 0.490 0.740
Sb3 0.510 0.510 0.260
Sb4 0.830 0.830 0.917

[7]
First-principles (GGA-PBE) data for a relaxed Er3TmSb3 crystal, as listed in the Alexandria database.

Calculated values
**E_form (uncorrected)**: -6.01 eV/f.u.
**Uncorrected energy**: -5.22 eV/atom
**Symmetry**: R-3 (148)
**Offset from the most stable computed form**: 83 meV/atom

Cell: 7.953 7.953 7.953 Å, 67.59 67.59 67.59°
Atoms (fractional coordinates):
Er1 0.086 0.824 0.341
Er2 0.176 0.659 0.914
Er3 0.341 0.086 0.824
Er4 0.659 0.914 0.176
Er5 0.824 0.341 0.086
Er6 0.914 0.176 0.659
Tm1 0.334 0.334 0.334
Tm2 0.666 0.666 0.666
Sb1 0.079 0.474 0.695
Sb2 0.305 0.921 0.526
Sb3 0.474 0.695 0.079
Sb4 0.526 0.305 0.921
Sb5 0.695 0.079 0.474
Sb6 0.921 0.526 0.305

[8]
First-principles (GGA-PBE) data for a relaxed Er2Tm5Sb4 crystal, as listed in the Alexandria database.

Calculated values
**E_form (uncorrected)**: -4.49 eV/f.u.
**Uncorrected energy**: -4.77 eV/atom
**Symmetry**: C2/m (12)

Cell: 12.899 12.899 7.190 Å, 91.55 91.55 16.11°
Atoms (fractional coordinates):
Er1 0.237 0.237 0.284
Er2 0.763 0.763 0.716
Tm1 0.090 0.090 0.199
Tm2 0.141 0.141 0.661
Tm3 0.500 0.500 0.500
Tm4 0.859 0.859 0.339
Tm5 0.910 0.910 0.801
Sb1 0.033 0.033 0.817
Sb2 0.328 0.328 0.997
Sb3 0.672 0.672 0.003
Sb4 0.967 0.967 0.183